# 1
Below is TaCo2ReSi at its PBEsol-relaxed geometry, with properties calculated at the SCAN level.

As for the total magnetization: 2.7 μB/f.u. Its crystal system is tetragonal. The raw formation energy is 1.62 eV per atom. For the electronic total energy, the calculation gives -34.84 eV/atom. As for the space-group type: P4/mmm, No. 123. The calculation puts the calculated volume at 91.2 Å³/cell.

Lattice parameters (Å, degrees): 4.3433 4.3433 4.8352 90.00 90.00 90.00
Positions (direct):
Ta 0.0000 0.0000 0.0000
Co 0.0000 0.5000 0.5000
Co 0.5000 0.0000 0.5000
Re 0.0000 0.0000 0.5000
Si 0.5000 0.5000 0.0000



# 2
Below is NaIrPd2Ru at its PBEsol-relaxed geometry, with properties calculated at the SCAN level.

The formation energy comes out at 9.25 eV/f.u. As for the total magnetization: 4.2 μB/f.u. Its crystal system is tetragonal. For the electronic total energy, the calculation gives -33.29 eV/atom. As for the space-group type: P4/mmm, No. 123. The calculation puts the calculated volume at 85.0 Å³/cell.

Lattice parameters (Å, degrees): 4.3099 4.3099 4.5778 90.00 90.00 90.00
Positions (direct):
Na 0.0000 0.0000 0.0000
Ir 0.0000 0.0000 0.5000
Pd 0.0000 0.5000 0.0000
Pd 0.5000 0.0000 0.0000
Ru 0.5000 0.5000 0.5000



# 3
Below is Be2CuBr at its PBEsol-relaxed geometry, with properties calculated at the SCAN level.

As for the total magnetization: 0.0 μB/f.u. Its crystal system is trigonal. The raw formation energy is 0.08 eV per atom. The energy above the most stable polymorph in this dataset is 0.00 eV per formula unit. For the electronic total energy, the calculation gives -10.76 eV/atom. As for the space-group type: R-3m, No. 166. The calculation puts the calculated volume at 196.1 Å³/cell.

Lattice parameters (Å, degrees): 3.7683 3.7683 15.9429 90.00 90.00 120.00
Positions (direct):
Be 0.0000 0.0000 0.1364
Be 0.0000 0.0000 0.8636
Be 0.3333 0.6667 0.5303
Be 0.3333 0.6667 0.8031
Be 0.6667 0.3333 0.1969
Be 0.6667 0.3333 0.4697
Cu 0.0000 0.0000 0.5000
Cu 0.3333 0.6667 0.1667
Cu 0.6667 0.3333 0.8333
Br 0.0000 0.0000 0.0000
Br 0.3333 0.6667 0.6667
Br 0.6667 0.3333 0.3333



# 4
Below is KY3Sn at its PBEsol-relaxed geometry, with properties calculated at the SCAN level.

The formation energy comes out at 0.90 eV/f.u. As for the total magnetization: 3.3 μB/f.u. Its crystal system is cubic. For the electronic total energy, the calculation gives -25.38 eV/atom. As for the space-group type: Pm-3m, No. 221. The calculation puts the calculated volume at 199.4 Å³/cell.

Lattice parameters (Å, degrees): 5.8417 5.8417 5.8417 90.00 90.00 90.00
Positions (direct):
K 0.0000 0.0000 0.0000
Y 0.0000 0.5000 0.5000
Y 0.5000 0.0000 0.5000
Y 0.5000 0.5000 0.0000
Sn 0.5000 0.5000 0.5000